## w
CeCd2Pb after structural relaxation. Source: the Alexandria database, functional PBE.

abc: 5.342 5.342 5.342
angles: 60.00 60.00 60.00
Sites, in units of the cell vectors:
Ce 0.000 0.000 0.000
Pb 0.500 0.500 0.500
Cd 0.250 0.250 0.250
Cd 0.750 0.750 0.750

- Volume: 26.94 Å³ per atom
- Total magnetic moment: 1.00 μB/f.u.



## x
CeCd2Pb after structural relaxation. Source: the Alexandria database, functional PBE.

abc: 5.003 4.611 4.611
angles: 90.00 90.00 90.00
Sites, in units of the cell vectors:
Cd 0.000 0.500 0.000
Cd 0.000 0.000 0.500
Ce 0.500 0.000 0.000
Pb 0.500 0.500 0.500

- Volume: 26.59 Å³ per atom
- Total magnetic moment: 0.90 μB/f.u.



Energy comparison, zero being the most stable, in kJ/mol of atoms: w 14.2; x 0.0.



## w
CeCdPb3 after structural relaxation. Source: the Alexandria database, functional PBE.

abc: 4.888 8.750 6.040
angles: 77.00 144.00 106.27
Sites, in units of the cell vectors:
Pb 0.798 0.562 0.319
Pb 0.692 0.347 0.821
Pb 0.491 0.951 0.819
Ce 0.585 0.132 0.322
Cd 0.887 0.734 0.824

- Volume: 29.15 Å³ per atom
- Total magnetic moment: 1.07 μB/f.u.



## x
CeCdPb3 after structural relaxation. Source: the Alexandria database, functional PBE.

abc: 6.066 7.759 7.759
angles: 120.00 90.00 90.00
Sites, in units of the cell vectors:
Pb 0.750 0.607 0.804
Pb 0.250 0.393 0.196
Pb 0.750 0.196 0.393
Pb 0.250 0.804 0.196
Pb 0.750 0.196 0.804
Pb 0.250 0.804 0.607
Cd 0.500 0.000 0.000
Cd 0.000 0.000 0.000
Ce 0.750 0.666 0.334
Ce 0.250 0.334 0.666

- Volume: 31.63 Å³ per atom
- Total magnetic moment: 1.20 μB/f.u.



Energy comparison, zero being the most stable, in kJ/mol of atoms: w 0.0; x 14.6.



## w
CeThCdPb after structural relaxation. Source: the Alexandria database, functional PBE.

abc: 3.372 6.307 5.843
angles: 90.00 90.00 105.51
Sites, in units of the cell vectors:
Th 0.068 0.136 0.500
Pb 0.207 0.415 0.000
Cd 0.940 0.879 0.000
Ce 0.797 0.595 0.500

- Volume: 29.94 Å³ per atom
- Total magnetic moment: 1.11 μB/f.u.



## x
CeThCdPb after structural relaxation. Source: the Alexandria database, functional PBE.

abc: 5.495 5.495 5.495
angles: 60.00 60.00 60.00
Sites, in units of the cell vectors:
Pb 0.500 0.500 0.500
Ce 0.750 0.750 0.750
Th 0.250 0.250 0.250
Cd 0.000 0.000 0.000

- Volume: 29.33 Å³ per atom
- Total magnetic moment: 1.39 μB/f.u.



Energy comparison, zero being the most stable, in kJ/mol of atoms: w 24.6; x 0.0.



## w
CeTlCdPb after structural relaxation. Source: the Alexandria database, functional PBE.

abc: 4.777 4.611 4.984
angles: 90.00 90.00 90.00
Sites, in units of the cell vectors:
Tl 0.000 0.000 0.000
Cd 0.500 0.500 0.000
Ce 0.000 0.500 0.500
Pb 0.500 0.000 0.500

- Volume: 27.45 Å³ per atom
- Total magnetic moment: 0.94 μB/f.u.



## x
CeTlCdPb after structural relaxation. Source: the Alexandria database, functional PBE.

abc: 5.396 5.396 5.396
angles: 60.00 60.00 60.00
Sites, in units of the cell vectors:
Pb 0.000 0.000 0.000
Cd 0.750 0.750 0.750
Ce 0.250 0.250 0.250
Tl 0.500 0.500 0.500

- Volume: 27.77 Å³ per atom
- Total magnetic moment: 0.86 μB/f.u.



Energy comparison, zero being the most stable, in kJ/mol of atoms: w 0.0; x 13.1.